(1)
Entry from Alexandria: a relaxed HgHF crystal (PBE).

The raw total energy is -15.18 eV per cell. The crystal system is monoclinic. For the energy above the most stable polymorph in this dataset, the calculation gives 259 meV per atom.

It has space group P2_1 (No. 4), with a = 4.000 Å, b = 5.499 Å, c = 4.995 Å, α = 90.00°, β = 91.30° and γ = 90.00°. Symmetry generates all atoms from Hg at (0.178, 0.000, 0.266), H at (0.421, 0.000, 0.017) and F at (0.159, 0.501, 0.422).

=====

(2)
Entry from Alexandria: a relaxed Cd2FePt crystal (PBE).

Its formation energy is 0.34 eV/atom. The raw total energy is -59.97 eV per cell. The crystal system is tetragonal.

It has space group I-42d (No. 122), with a = 7.434 Å, b = 7.434 Å, c = 5.451 Å, α = 90.00°, β = 90.00° and γ = 90.00°. Symmetry generates all atoms from Cd at (0.245, 0.750, 0.125), Fe at (0.000, 0.000, 0.000) and Pt at (0.000, 0.000, 0.500).

=====

(3)
Entry from Alexandria: a relaxed LiYGa crystal (PBE).

Its formation energy is -0.40 eV/atom. The raw total energy is -75.55 eV per cell. The crystal system is orthorhombic. For the energy above the most stable polymorph in this dataset, the calculation gives 29 meV per atom.

It has space group Pmma (No. 51), with a = 12.797 Å, b = 4.499 Å, c = 6.858 Å, α = 90.00°, β = 90.00° and γ = 90.00°. Symmetry generates all atoms from Li at (0.136, 0.000, 0.056), Li at (0.250, 0.000, 0.704), Y at (0.038, 0.500, 0.733), Y at (0.250, 0.500, 0.365), Ga at (0.096, 0.000, 0.445) and Ga at (0.250, 0.500, 0.921).

=====

(4)
Entry from Alexandria: a relaxed KCd2 crystal (PBE).

Its formation energy is -0.09 eV/atom. The raw total energy is -25.61 eV per cell. The crystal system is cubic.

It has space group Fd-3m (No. 227, origin choice 2), with a = 9.032 Å, b = 9.032 Å, c = 9.032 Å, α = 90.00°, β = 90.00° and γ = 90.00°. Symmetry generates all atoms from K at (0.125, 0.125, 0.125) and Cd at (0.000, 0.000, 0.500).

=====

(5)
Entry from Alexandria: a relaxed K5RbSb2 crystal (PBE).

The raw total energy is -33.51 eV per cell. As for the uncorrected formation energy: -0.26 eV/atom. The crystal system is hexagonal.

It has space group P6_3/mmc (No. 194), with a = 6.3084 Å, b = 6.3084 Å, c = 23.1937 Å, α = 90.00°, β = 90.00° and γ = 120.00°. Symmetry generates all atoms from K at (0.0000, 0.0000, 0.1105), K at (0.3333, 0.6667, 0.0514), K at (0.3333, 0.6667, 0.2500), Rb at (0.3333, 0.6667, 0.7500) and Sb at (0.3333, 0.6667, 0.6033).

=====

(6)
Entry from Alexandria: a relaxed ZrTa3As crystal (PBE).

Its formation energy is 1.96 eV/atom. The raw total energy is -38.97 eV per cell. The crystal system is cubic. For the energy above the most stable polymorph in this dataset, the calculation gives 1377 meV per atom.

It has space group Pm-3m (No. 221), with a = 4.920 Å, b = 4.920 Å, c = 4.920 Å, α = 90.00°, β = 90.00° and γ = 90.00°. Symmetry generates all atoms from Zr at (0.000, 0.000, 0.000), Ta at (0.000, 0.000, 0.500) and As at (0.500, 0.500, 0.500).

=====

Question: Which value of raw total energy does entry 5 give?
Answer: -33.51 eV per cell

=====

Question: raw total energy of number 5 (K5RbSb2)?
Answer: -33.51 eV per cell

=====

Question: What is the raw total energy in the third record?
Answer: -75.55 eV per cell

=====

Question: Look up the raw total energy of the first one.
Answer: -15.18 eV per cell